(1)
A geometry-optimized Rb2GaAuBr6 structure. Source: the Open Quantum Materials Database, functional GGA-PBE.

Cell and atoms, written as POSCAR:
```
Rb2GaAuBr6
1.0
6.414 -3.886 0.000
6.414 3.886 0.000
-5.035 0.000 6.874
Ga Br Rb Au
1 6 2 1
direct
0.500 0.500 0.500 Ga
0.312 0.766 0.333 Br
0.234 0.688 0.667 Br
0.688 0.234 0.667 Br
0.233 0.233 0.146 Br
0.766 0.312 0.333 Br
0.767 0.767 0.854 Br
0.244 0.244 0.745 Rb
0.756 0.756 0.255 Rb
0.000 0.000 0.000 Au
```

Calculated values
Space-group type: C2/m (12)
Uncorrected energy (eV per atom): -2.83

***

(2)
A geometry-optimized PuCo structure. Source: the Open Quantum Materials Database, functional GGA-PBE.

Cell and atoms, written as POSCAR:
```
PuCo
1.0
2.792 0.000 0.000
-1.396 2.418 0.000
0.000 0.000 4.633
Pu Co
1 1
direct
0.333 0.667 0.250 Pu
0.667 0.333 0.750 Co
```

Calculated values
Space-group type: P-6m2 (187)
ΔH_f (0 K) (eV per atom): 0.3683

***

(3)
A geometry-optimized LuHfTl structure. Source: the Open Quantum Materials Database, functional GGA-PBE.

Cell and atoms, written as POSCAR:
```
LuHfTl
1.0
0.000 3.465 3.465
3.465 0.000 3.465
3.465 3.465 0.000
Tl Hf Lu
1 1 1
direct
0.000 0.000 0.000 Tl
0.250 0.250 0.250 Hf
0.750 0.750 0.750 Lu
```

Calculated values
Space-group type: F-43m (216)
Offset from the most stable computed form (eV per atom): 0.0000